(1)
A relaxed structure of SiC4. Source: Alexandria via LeMat-Bulk, functional PBE.

Summary:
The energy is -5.261 eV/atom. For the volume, the calculation gives 51 Å³ per cell. The raw formation energy is 309 kJ per mole of atoms. The energy above the lowest structure with this stoichiometry comes out at 1848 meV per atom.

Geometry as POSCAR:
```
SiC4
1.0
-0.927 3.378 1.251
-3.521 -1.123 0.424
0.762 -1.079 3.477
C Si
4 1
Direct
0.500 0.000 0.500
0.000 0.500 0.500
0.000 0.000 0.000
0.500 0.500 0.000
0.500 0.500 0.500
```

=====

(2)
A relaxed structure of Li3B4C4. Source: Alexandria via LeMat-Bulk, functional PBE.

Summary:
The formation energy is -0.2411 eV/atom. The energy is -6.545 eV/atom. For the volume, the calculation gives 187 Å³ per cell. The energy above the lowest structure with this stoichiometry comes out at 0 meV per atom.

Geometry as POSCAR:
```
Li3B4C4
1.0
7.436 0.066 -2.380
6.912 2.743 -2.380
-0.042 -0.008 9.385
C B Li
8 8 6
Direct
0.864 0.864 0.768
0.377 0.377 0.024
0.132 0.132 0.731
0.887 0.887 0.280
0.629 0.629 0.479
0.616 0.616 0.971
0.122 0.122 0.224
0.373 0.373 0.522
0.119 0.119 0.889
0.621 0.621 0.138
0.383 0.383 0.360
0.871 0.871 0.605
0.368 0.368 0.852
0.880 0.880 0.110
0.631 0.631 0.649
0.127 0.127 0.394
0.747 0.747 0.897
0.002 0.002 0.527
0.250 0.250 0.624
0.995 0.995 0.976
0.753 0.753 0.351
0.503 0.503 0.253
```

=====

(3)
A relaxed structure of Sr2MnCd. Source: Alexandria via LeMat-Bulk, functional PBE.

Summary:
The formation energy is 0.1420 eV/atom. The energy is -3.220 eV/atom. For the volume, the calculation gives 137 Å³ per cell.

Geometry as POSCAR:
```
Sr2MnCd
1.0
-0.606 1.371 -4.670
3.597 -2.520 -1.207
-1.889 -6.070 -1.537
Cd Sr Mn
1 2 1
Direct
0.000 0.685 0.504
0.000 0.977 0.921
0.500 0.270 0.334
0.500 0.567 0.741
```

=====

(4)
A relaxed structure of CrRePb2. Source: Alexandria via LeMat-Bulk, functional PBE.

Summary:
The formation energy is 0.5589 eV/atom. The energy is -6.813 eV/atom. For the volume, the calculation gives 92 Å³ per cell. The energy above the lowest structure with this stoichiometry comes out at 150 meV per atom.

Geometry as POSCAR:
```
CrRePb2
1.0
-2.775 -5.706 8.671
-5.160 -6.553 6.773
-2.404 -8.101 6.637
Pb Re Cr
2 1 1
Direct
0.020 0.020 0.020
0.232 0.232 0.232
0.481 0.481 0.481
0.767 0.767 0.767
```

=====

(5)
A relaxed structure of KTl2HCl4. Source: Alexandria via LeMat-Bulk, functional PBE.

Summary:
The energy is -3.084 eV/atom. For the volume, the calculation gives 578 Å³ per cell.

Geometry as POSCAR:
```
KTl2HCl4
1.0
9.055 1.060 -0.404
1.054 9.056 -0.404
-5.193 -5.197 7.561
Cl K H Tl
8 2 2 4
Direct
0.753 0.747 0.071
0.247 0.253 0.929
0.862 0.142 0.002
0.358 0.638 0.498
0.753 0.747 0.429
0.642 0.362 0.502
0.138 0.858 0.998
0.247 0.253 0.571
0.000 0.500 0.500
0.000 0.500 0.000
0.500 0.500 0.500
0.000 0.000 0.000
0.000 0.000 0.500
0.500 0.000 0.000
0.500 0.000 0.500
0.500 0.500 0.000
```

=====

(6)
A relaxed structure of FeGe2S. Source: Alexandria via LeMat-Bulk, functional PBE.

Summary:
The energy is -5.129 eV/atom. For the volume, the calculation gives 169 Å³ per cell. The raw formation energy is 32 kJ per mole of atoms. The energy above the lowest structure with this stoichiometry comes out at 0 meV per atom.

Geometry as POSCAR:
```
FeGe2S
1.0
-4.040 0.972 3.799
-2.926 -4.380 -1.990
-1.015 -4.919 4.352
Ge Fe S
4 2 2
Direct
0.654 0.125 0.250
0.096 0.625 0.250
0.375 0.346 0.750
0.875 0.904 0.750
0.000 0.000 0.000
0.750 0.250 0.500
0.500 0.500 0.000
0.250 0.750 0.500
```

=====

(7)
A relaxed structure of Sr2TlIO6. Source: Alexandria via LeMat-Bulk, functional PBE.

Summary:
The energy is -5.242 eV/atom. For the volume, the calculation gives 177 Å³ per cell. The raw formation energy is -148 kJ per mole of atoms.

Geometry as POSCAR:
```
Sr2TlIO6
1.0
6.110 0.000 0.000
3.055 5.291 0.000
3.055 1.764 5.479
O Sr I Tl
6 2 1 1
Direct
0.391 0.655 0.798
0.156 0.391 0.798
0.655 0.156 0.798
0.261 0.004 0.204
0.530 0.261 0.204
0.004 0.530 0.204
0.533 0.533 0.402
0.011 0.011 0.966
0.328 0.328 0.017
0.792 0.792 0.624
```

=====

(8)
A relaxed structure of CoOsN2. Source: Alexandria via LeMat-Bulk, functional PBE.

Summary:
The energy is -8.255 eV/atom. For the volume, the calculation gives 40 Å³ per cell. The raw formation energy is 47 kJ per mole of atoms. The energy above the lowest structure with this stoichiometry comes out at 177 meV per atom.

Geometry as POSCAR:
```
CoOsN2
1.0
-6.227 -0.861 0.867
-5.301 -3.424 0.670
-5.152 -2.097 3.055
N Co Os
2 1 1
Direct
0.895 0.895 0.895
0.105 0.105 0.105
0.500 0.500 0.500
0.000 0.000 0.000
```